! LaReHgP2 PBE relaxed; values from VASP
&SYSTEM
  ibrav = 0, nat = 5, ntyp = 4
/
ATOMIC_SPECIES
La 138.91 La.upf
Re 186.21 Re.upf
Hg 200.59 Hg.upf
P 30.97 P.upf
ATOMIC_POSITIONS crystal
La 0.000 0.000 0.000
Re 0.000 0.000 0.500
Hg 0.500 0.500 0.000
P 0.000 0.500 0.500
P 0.500 0.000 0.500
CELL_PARAMETERS angstrom
4.666 0.000 0.000
0.000 4.666 0.000
0.000 0.000 5.662
! total energy: -5.736 eV/atom
! energy relative to the elements: -0.036 eV/atom
! total magnetic moment: 0.000 μB/atom
! excess energy over the best structure of this formula in the dataset: 0.000 eV per formula unit